# 1
Compound: Y3SiO
Source: Alexandria
Functional: PBE-GGA
Structure: optimized geometry

Cell: 7.803 3.935 8.532 Å, 90.00 104.23 90.00°
Space group P2_1/m (No. 11)
Asymmetric unit:
Y 0.077 0.250 0.356 (multiplicity 2)
Y 0.185 0.250 0.994 (multiplicity 2)
Y 0.412 0.750 0.655 (multiplicity 2)
Si 0.319 0.750 0.296 (multiplicity 2)
O 0.064 0.750 0.902 (multiplicity 2)

Calculated values
Its formation energy from raw total energies is -1387 meV/atom. Its excess energy over the best structure of this formula in the dataset is 0 meV/atom.



# 2
Compound: HoTlAs2
Source: Alexandria
Functional: PBE-GGA
Structure: optimized geometry

Cell: 3.900 3.900 6.511 Å, 90.00 90.00 90.00°
Space group P4/mmm (No. 123)
Asymmetric unit:
Ho 0.000 0.000 0.000 (multiplicity 1)
Tl 0.000 0.000 0.500 (multiplicity 1)
As 0.500 0.500 0.195 (multiplicity 2)

Calculated values
Its formation energy from the elements is -0.605 eV per atom. Its excess energy over the best structure of this formula in the dataset is 0 meV/atom.



# 3
Compound: Tb2PbAu
Source: Alexandria
Functional: PBE-GGA
Structure: optimized geometry

Cell: 3.763 23.607 4.982 Å, 90.00 90.00 90.00°
Space group Cmcm (No. 63)
Asymmetric unit:
Tb 0.000 0.059 0.250 (multiplicity 4)
Tb 0.000 0.331 0.250 (multiplicity 4)
Pb 0.000 0.195 0.250 (multiplicity 4)
Au 0.000 0.459 0.250 (multiplicity 4)

Calculated values
Its formation energy from the elements is -0.576 eV per atom.